[1]
# Dy3ScSn2C PBE-GGA relaxed
# Calculated density: 7.5 g cm⁻³
# DFT formation energy: -0.73 eV per atom
data_Dy3ScSn2C
_cell_length_a 8.6100
_cell_length_b 8.6100
_cell_length_c 8.6100
_cell_angle_alpha 149.27
_cell_angle_beta 147.86
_cell_angle_gamma 45.07
_space_group_name_H-M_alt 'P 1'
_space_group_IT_number 1
loop_
_space_group_symop_operation_xyz
'x,y,z'
loop_
_atom_site_label
_atom_site_type_symbol
_atom_site_fract_x
_atom_site_fract_y
_atom_site_fract_z
Dy1 Dy 0.0000 0.0000 0.0000
Dy2 Dy 0.3415 0.8415 0.5000
Dy3 Dy 0.6585 0.1585 0.5000
Sc1 Sc 0.5000 0.5000 0.0000
Sn1 Sn 0.1393 0.6393 0.5000
Sn2 Sn 0.8607 0.3607 0.5000
C1 C 0.5000 0.0000 0.5000

---

[2]
# Sc4GaCuAu2 PBE-GGA relaxed
# Calculated density: 7.7 g cm⁻³
# DFT formation energy: -0.62 eV per atom
data_Sc4GaCuAu2
_cell_length_a 8.2588
_cell_length_b 8.2588
_cell_length_c 8.2588
_cell_angle_alpha 33.53
_cell_angle_beta 33.53
_cell_angle_gamma 33.53
_space_group_name_H-M_alt 'P 1'
_space_group_IT_number 1
loop_
_space_group_symop_operation_xyz
'x,y,z'
loop_
_atom_site_label
_atom_site_type_symbol
_atom_site_fract_x
_atom_site_fract_y
_atom_site_fract_z
Sc1 Sc 0.1228 0.1228 0.1228
Sc2 Sc 0.3732 0.3732 0.3732
Sc3 Sc 0.6268 0.6268 0.6268
Sc4 Sc 0.8772 0.8772 0.8772
Ga1 Ga 0.5000 0.5000 0.5000
Cu1 Cu 0.0000 0.0000 0.0000
Au1 Au 0.2494 0.2494 0.2494
Au2 Au 0.7506 0.7506 0.7506

---

[3]
# HIrPt2Rh PBE-GGA relaxed
# Energy above the most stable polymorph in this dataset: 0.017 eV/atom
# Calculated density: 18.1 g cm⁻³
data_HIrPt2Rh
_cell_length_a 4.0390
_cell_length_b 4.0390
_cell_length_c 3.8689
_cell_angle_alpha 90.00
_cell_angle_beta 90.00
_cell_angle_gamma 90.00
_space_group_name_H-M_alt 'P 1'
_space_group_IT_number 1
loop_
_space_group_symop_operation_xyz
'x,y,z'
loop_
_atom_site_label
_atom_site_type_symbol
_atom_site_fract_x
_atom_site_fract_y
_atom_site_fract_z
H1 H 0.0000 0.0000 0.0000
Ir1 Ir 0.0000 0.0000 0.5000
Pt1 Pt 0.0000 0.5000 0.0000
Pt2 Pt 0.5000 0.0000 0.0000
Rh1 Rh 0.5000 0.5000 0.5000

---

[4]
# Na5Ti2Se6 PBE-GGA relaxed
# Calculated density: 3.1 g cm⁻³
# Energy: -4.47 eV/atom
data_Na5Ti2Se6
_cell_length_a 7.2634
_cell_length_b 7.2634
_cell_length_c 15.7781
_cell_angle_alpha 100.68
_cell_angle_beta 100.68
_cell_angle_gamma 62.93
_space_group_name_H-M_alt 'P 1'
_space_group_IT_number 1
loop_
_space_group_symop_operation_xyz
'x,y,z'
loop_
_atom_site_label
_atom_site_type_symbol
_atom_site_fract_x
_atom_site_fract_y
_atom_site_fract_z
Na1 Na 0.1819 0.8181 0.7500
Na2 Na 0.1921 0.4868 0.2633
Na3 Na 0.2020 0.7267 0.9968
Na4 Na 0.2733 0.7980 0.5032
Na5 Na 0.4868 0.1921 0.7633
Na6 Na 0.5132 0.8079 0.2367
Na7 Na 0.7267 0.2020 0.4968
Na8 Na 0.7980 0.2733 0.0032
Na9 Na 0.8079 0.5132 0.7367
Na10 Na 0.8181 0.1819 0.2500
Ti1 Ti 0.1585 0.3876 0.5724
Ti2 Ti 0.3876 0.1585 0.0724
Ti3 Ti 0.6124 0.8415 0.9276
Ti4 Ti 0.8415 0.6124 0.4276
Se1 Se 0.1273 0.1424 0.6460
Se2 Se 0.1424 0.1273 0.1460
Se3 Se 0.1545 0.2748 0.4151
Se4 Se 0.2748 0.1545 0.9151
Se5 Se 0.4517 0.4571 0.6274
Se6 Se 0.4571 0.4517 0.1274
Se7 Se 0.5429 0.5483 0.8726
Se8 Se 0.5483 0.5429 0.3726
Se9 Se 0.7252 0.8455 0.0849
Se10 Se 0.8455 0.7252 0.5849
Se11 Se 0.8576 0.8727 0.8540
Se12 Se 0.8727 0.8576 0.3540

---

[5]
# PrNdBr4 PBE-GGA relaxed
# Energy above the most stable polymorph in this dataset: 0.000 eV/atom
# Calculated density: 5.1 g cm⁻³
data_PrNdBr4
_cell_length_a 8.2141
_cell_length_b 8.2141
_cell_length_c 8.2141
_cell_angle_alpha 120.25
_cell_angle_beta 119.96
_cell_angle_gamma 89.82
_space_group_name_H-M_alt 'P 1'
_space_group_IT_number 1
loop_
_space_group_symop_operation_xyz
'x,y,z'
loop_
_atom_site_label
_atom_site_type_symbol
_atom_site_fract_x
_atom_site_fract_y
_atom_site_fract_z
Pr1 Pr 0.5000 0.0000 0.0000
Pr2 Pr 0.5000 0.5000 0.5000
Nd1 Nd 0.0000 0.0000 0.0000
Nd2 Nd 0.5000 0.0000 0.5000
Br1 Br 0.2229 0.7429 0.4800
Br2 Br 0.2371 0.2571 0.9800
Br3 Br 0.2406 0.2571 0.5165
Br4 Br 0.2406 0.7240 0.9835
Br5 Br 0.7594 0.2760 0.0165
Br6 Br 0.7594 0.7429 0.4835
Br7 Br 0.7629 0.7429 0.0200
Br8 Br 0.7771 0.2571 0.5200

---

[6]
# SmPaPb2O8 PBE-GGA relaxed
# Calculated density: 7.9 g cm⁻³
# Energy: -7.17 eV/atom
data_SmPaPb2O8
_cell_length_a 6.3235
_cell_length_b 6.3235
_cell_length_c 6.3235
_cell_angle_alpha 109.19
_cell_angle_beta 109.19
_cell_angle_gamma 110.03
_space_group_name_H-M_alt 'P 1'
_space_group_IT_number 1
loop_
_space_group_symop_operation_xyz
'x,y,z'
loop_
_atom_site_label
_atom_site_type_symbol
_atom_site_fract_x
_atom_site_fract_y
_atom_site_fract_z
Sm1 Sm 0.0000 0.0000 0.0000
Pa1 Pa 0.2500 0.7500 0.5000
Pb1 Pb 0.5000 0.5000 0.0000
Pb2 Pb 0.7500 0.2500 0.5000
O1 O 0.2912 0.0958 0.8047
O2 O 0.2912 0.4865 0.1953
O3 O 0.3479 0.0283 0.3196
O4 O 0.5135 0.7088 0.8047
O5 O 0.7087 0.0283 0.6804
O6 O 0.9042 0.7088 0.1953
O7 O 0.9717 0.2913 0.3196
O8 O 0.9717 0.6521 0.6804

---

[7]
# PrPu2Mo PBE-GGA relaxed
# Calculated density: 11.7 g cm⁻³
# DFT formation energy: 0.46 eV per atom
data_PrPu2Mo
_cell_length_a 11.0538
_cell_length_b 11.0538
_cell_length_c 11.0538
_cell_angle_alpha 17.19
_cell_angle_beta 17.19
_cell_angle_gamma 17.19
_space_group_name_H-M_alt 'P 1'
_space_group_IT_number 1
loop_
_space_group_symop_operation_xyz
'x,y,z'
loop_
_atom_site_label
_atom_site_type_symbol
_atom_site_fract_x
_atom_site_fract_y
_atom_site_fract_z
Pr1 Pr 0.0000 0.0000 0.0000
Pu1 Pu 0.1001 0.1001 0.1001
Pu2 Pu 0.8999 0.8999 0.8999
Mo1 Mo 0.5000 0.5000 0.5000

---

[8]
# ZrAlAg PBE-GGA relaxed
# Calculated density: 6.5 g cm⁻³
# DFT formation energy: -0.21 eV per atom
data_ZrAlAg
_cell_length_a 5.9297
_cell_length_b 5.9297
_cell_length_c 7.6960
_cell_angle_alpha 125.75
_cell_angle_beta 125.75
_cell_angle_gamma 32.35
_space_group_name_H-M_alt 'P 1'
_space_group_IT_number 1
loop_
_space_group_symop_operation_xyz
'x,y,z'
loop_
_atom_site_label
_atom_site_type_symbol
_atom_site_fract_x
_atom_site_fract_y
_atom_site_fract_z
Zr1 Zr 0.0000 0.0000 0.0000
Zr2 Zr 0.2019 0.2019 0.6750
Al1 Al 0.4659 0.4659 0.2969
Al2 Al 0.4733 0.4733 0.6650
Ag1 Ag 0.7443 0.7443 0.0329
Ag2 Ag 0.7502 0.7502 0.3989

---

[9]
# Tb3PmPr4Te8 PBE-GGA relaxed
# Calculated density: 7.3 g cm⁻³
# Energy: -5.32 eV/atom
data_Tb3PmPr4Te8
_cell_length_a 8.9990
_cell_length_b 8.9990
_cell_length_c 8.9990
_cell_angle_alpha 59.00
_cell_angle_beta 59.00
_cell_angle_gamma 59.00
_space_group_name_H-M_alt 'P 1'
_space_group_IT_number 1
loop_
_space_group_symop_operation_xyz
'x,y,z'
loop_
_atom_site_label
_atom_site_type_symbol
_atom_site_fract_x
_atom_site_fract_y
_atom_site_fract_z
Tb1 Tb 0.0000 0.5000 0.5000
Tb2 Tb 0.5000 0.0000 0.5000
Tb3 Tb 0.5000 0.5000 0.0000
Pm1 Pm 0.0000 0.0000 0.0000
Pr1 Pr 0.0000 0.0000 0.5000
Pr2 Pr 0.0000 0.5000 0.0000
Pr3 Pr 0.5000 0.0000 0.0000
Pr4 Pr 0.5000 0.5000 0.5000
Te1 Te 0.2483 0.2483 0.7425
Te2 Te 0.2483 0.7425 0.2483
Te3 Te 0.2545 0.2545 0.2545
Te4 Te 0.2575 0.7517 0.7517
Te5 Te 0.7425 0.2483 0.2483
Te6 Te 0.7455 0.7455 0.7455
Te7 Te 0.7517 0.2575 0.7517
Te8 Te 0.7517 0.7517 0.2575

---

[10]
# Rb3Pm3TmO8 PBE-GGA relaxed
# Calculated density: 5.5 g cm⁻³
# Energy: -6.71 eV/atom
data_Rb3Pm3TmO8
_cell_length_a 7.8268
_cell_length_b 7.8268
_cell_length_c 7.8268
_cell_angle_alpha 54.52
_cell_angle_beta 54.52
_cell_angle_gamma 54.52
_space_group_name_H-M_alt 'P 1'
_space_group_IT_number 1
loop_
_space_group_symop_operation_xyz
'x,y,z'
loop_
_atom_site_label
_atom_site_type_symbol
_atom_site_fract_x
_atom_site_fract_y
_atom_site_fract_z
Rb1 Rb 0.0000 0.5000 0.5000
Rb2 Rb 0.5000 0.0000 0.5000
Rb3 Rb 0.5000 0.5000 0.0000
Pm1 Pm 0.0000 0.0000 0.5000
Pm2 Pm 0.0000 0.5000 0.0000
Pm3 Pm 0.5000 0.0000 0.0000
Tm1 Tm 0.5000 0.5000 0.5000
O1 O 0.2256 0.2256 0.2256
O2 O 0.2387 0.7149 0.7149
O3 O 0.2851 0.2851 0.7613
O4 O 0.2851 0.7613 0.2851
O5 O 0.7149 0.2387 0.7149
O6 O 0.7149 0.7149 0.2387
O7 O 0.7613 0.2851 0.2851
O8 O 0.7744 0.7744 0.7744

---

[11]
# KSc2Fe PBE-GGA relaxed
# Energy above the most stable polymorph in this dataset: 0.775 eV/atom
# Calculated density: 3.1 g cm⁻³
# DFT formation energy: 0.92 eV per atom
data_KSc2Fe
_cell_length_a 5.7751
_cell_length_b 5.7751
_cell_length_c 5.7751
_cell_angle_alpha 134.18
_cell_angle_beta 134.18
_cell_angle_gamma 66.81
_space_group_name_H-M_alt 'P 1'
_space_group_IT_number 1
loop_
_space_group_symop_operation_xyz
'x,y,z'
loop_
_atom_site_label
_atom_site_type_symbol
_atom_site_fract_x
_atom_site_fract_y
_atom_site_fract_z
K1 K 0.0000 0.0000 0.0000
Sc1 Sc 0.2500 0.7500 0.5000
Sc2 Sc 0.5000 0.5000 0.0000
Fe1 Fe 0.7500 0.2500 0.5000

---

[12]
# Ba3SnS PBE-GGA relaxed
# Energy above the most stable polymorph in this dataset: 0.000 eV/atom
# Calculated density: 4.3 g cm⁻³
data_Ba3SnS
_cell_length_a 6.0319
_cell_length_b 6.0319
_cell_length_c 6.0319
_cell_angle_alpha 90.00
_cell_angle_beta 90.00
_cell_angle_gamma 90.00
_space_group_name_H-M_alt 'P 1'
_space_group_IT_number 1
loop_
_space_group_symop_operation_xyz
'x,y,z'
loop_
_atom_site_label
_atom_site_type_symbol
_atom_site_fract_x
_atom_site_fract_y
_atom_site_fract_z
Ba1 Ba 0.0000 0.0000 0.5000
Ba2 Ba 0.0000 0.5000 0.0000
Ba3 Ba 0.5000 0.0000 0.0000
Sn1 Sn 0.5000 0.5000 0.5000
S1 S 0.0000 0.0000 0.0000